Below is a relaxed structure of SrCo2Pb, with properties calculated at the PBE level.

It has space group R3m (No. 160, hexagonal axes), with a = 4.0994 Å, b = 4.0994 Å, c = 18.8205 Å, α = 90.00°, β = 90.00° and γ = 120.00°. The distinct sites, in fractional coordinates, are Sr at (0.0000, 0.0000, 0.0000), Co at (0.0000, 0.0000, 0.2182), Co at (0.0000, 0.0000, 0.5506) and Pb at (0.0000, 0.0000, 0.8066).

The calculation puts the density of states at the Fermi level at 0.909 states/eV/atom. Its crystal system is trigonal. Its raw total energy is -4.843 eV/atom. For the volume, the calculation gives 274 Å³ per cell. As for the calculated formation energy: 0.057 eV/atom.